{"formula": "La2CdAgRh", "functional": "GGA-PBE", "state": "optimized geometry", "e_above_lowest_polymorph_mev_per_atom": 190, "sg": "P4/mmm", "lattice": [[-4.780, 1.448, 2.129], [1.979, -0.805, 4.991], [1.585, 4.977, 0.174]], "species": ["Cd", "Ag", "La", "La", "Rh"], "fractional_positions": [[0.000, 0.000, 0.500], [0.500, 0.500, 0.500], [0.500, 0.000, 0.000], [0.000, 0.500, 0.000], [0.000, 0.000, 0.000]]}

{"formula": "La2CdAgRh", "functional": "GGA-PBE", "state": "optimized geometry", "e_above_lowest_polymorph_mev_per_atom": 0, "sg": "P2_1/m", "lattice": [[4.275, 0.000, 0.000], [0.000, 8.287, 0.353], [0.000, -3.062, 7.262]], "species": ["Rh", "Rh", "La", "La", "La", "La", "Ag", "Ag", "Cd", "Cd"], "fractional_positions": [[0.750, 0.115, 0.107], [0.250, 0.885, 0.893], [0.750, 0.884, 0.649], [0.750, 0.724, 0.027], [0.250, 0.116, 0.351], [0.250, 0.276, 0.973], [0.250, 0.690, 0.325], [0.750, 0.310, 0.675], [0.750, 0.453, 0.346], [0.250, 0.547, 0.654]]}

{"formula": "La2CdAgRu", "functional": "GGA-PBE", "state": "optimized geometry", "e_above_lowest_polymorph_mev_per_atom": 0, "sg": "P2_1/m", "lattice": [[4.189, 0.000, 0.000], [0.000, 8.274, 0.444], [0.000, -2.985, 7.386]], "species": ["La", "La", "La", "La", "Cd", "Cd", "Ag", "Ag", "Ru", "Ru"], "fractional_positions": [[0.250, 0.268, 0.971], [0.750, 0.887, 0.655], [0.750, 0.732, 0.029], [0.250, 0.113, 0.345], [0.250, 0.549, 0.653], [0.750, 0.451, 0.347], [0.250, 0.691, 0.331], [0.750, 0.309, 0.669], [0.750, 0.121, 0.105], [0.250, 0.879, 0.895]]}

{"formula": "La2CdAgRu", "functional": "GGA-PBE", "state": "optimized geometry", "e_above_lowest_polymorph_mev_per_atom": 215, "sg": "P4/mmm", "lattice": [[-1.944, 1.299, -4.736], [2.861, -3.840, -2.228], [-4.020, -3.411, 0.715]], "species": ["La", "La", "Ru", "Cd", "Ag"], "fractional_positions": [[0.000, 0.500, 0.000], [0.500, 0.000, 0.000], [0.000, 0.000, 0.000], [0.500, 0.500, 0.500], [0.000, 0.000, 0.500]]}

{"formula": "LaCd2AgRu", "functional": "GGA-PBE", "state": "optimized geometry", "sg": "P4/mmm", "energy_ry_per_atom": -0.2693, "lattice": [[-5.208, 0.369, -0.805], [0.742, -0.449, -5.004], [-0.435, -5.249, 0.406]], "species": ["Cd", "Cd", "La", "Ag", "Ru"], "fractional_positions": [[0.500, 0.000, 0.000], [0.000, 0.000, 0.500], [0.000, 0.500, 0.000], [0.500, 0.500, 0.500], [0.000, 0.000, 0.000]]}

{"formula": "La2CdAgRu", "functional": "GGA-PBE", "state": "optimized geometry", "e_above_lowest_polymorph_mev_per_atom": 163, "sg": "P4/mmm", "lattice": [[5.331, 0.000, 0.000], [0.000, 5.331, 0.000], [0.000, 0.000, 5.301]], "species": ["Cd", "La", "La", "Ru", "Ag"], "fractional_positions": [[0.000, 0.000, 0.500], [0.000, 0.500, 0.000], [0.500, 0.000, 0.000], [0.000, 0.000, 0.000], [0.500, 0.500, 0.500]]}

{"formula": "LaCdSiAg", "functional": "GGA-PBE", "state": "optimized geometry", "sg": "F-43m", "energy_ry_per_atom": -0.2771, "lattice": [[-3.092, -0.533, -3.947], [-4.588, -1.989, 0.643], [-4.092, 2.917, -0.409]], "species": ["Cd", "La", "Si", "Ag"], "fractional_positions": [[0.750, 0.750, 0.750], [0.250, 0.250, 0.250], [0.000, 0.000, 0.000], [0.500, 0.500, 0.500]]}

{"formula": "LaSm2Cd2Ag2", "functional": "GGA-PBE", "state": "optimized geometry", "sg": "R-3m", "energy_ry_per_atom": -0.2449, "lattice": [[4.939, 0.000, 0.000], [2.469, 4.277, 0.000], [2.469, 1.426, 8.990]], "species": ["Sm", "Sm", "Ag", "Ag", "Cd", "Cd", "La"], "fractional_positions": [[0.873, 0.873, 0.380], [0.127, 0.127, 0.620], [0.594, 0.594, 0.217], [0.406, 0.406, 0.783], [0.259, 0.259, 0.223], [0.741, 0.741, 0.777], [0.000, 0.000, 0.000]]}

{"formula": "LaSmCdAg", "functional": "GGA-PBE", "state": "optimized geometry", "e_above_lowest_polymorph_mev_per_atom": 0, "sg": "P4mm", "lattice": [[3.813, 0.000, 0.000], [0.000, 3.813, 0.000], [0.000, 0.000, 7.678]], "species": ["La", "Sm", "Cd", "Ag"], "fractional_positions": [[0.500, 0.500, 0.113], [0.500, 0.500, 0.597], [0.000, 0.000, 0.842], [0.000, 0.000, 0.376]]}

{"formula": "LaSmCdAg", "functional": "GGA-PBE", "state": "optimized geometry", "e_above_lowest_polymorph_mev_per_atom": 15, "sg": "F-43m", "lattice": [[-0.645, -4.916, 2.172], [4.250, -3.313, 0.510], [2.018, -1.078, 4.905]], "species": ["Sm", "Cd", "La", "Ag"], "fractional_positions": [[0.500, 0.500, 0.500], [0.750, 0.750, 0.750], [0.000, 0.000, 0.000], [0.250, 0.250, 0.250]]}

{"formula": "La2CdAg3Sn4", "functional": "GGA-PBE", "state": "optimized geometry", "sg": "P-4m2", "energy_ry_per_atom": -0.2905, "lattice": [[-4.383, 1.119, 0.832], [-1.376, -3.922, -1.971], [0.602, -5.568, 10.658]], "species": ["Cd", "Ag", "Ag", "Ag", "Sn", "Sn", "Sn", "Sn", "La", "La"], "fractional_positions": [[0.500, 0.500, 0.500], [0.000, 0.000, 0.500], [0.500, 0.000, 0.862], [0.000, 0.500, 0.138], [0.500, 0.500, 0.000], [0.000, 0.500, 0.358], [0.500, 0.000, 0.642], [0.000, 0.000, 0.000], [0.500, 0.000, 0.252], [0.000, 0.500, 0.748]]}

{"formula": "Sr2LaCd12Ag3", "functional": "GGA-PBE", "state": "optimized geometry", "sg": "R-3m", "energy_ry_per_atom": -0.1092, "lattice": [[-5.800, 0.910, 6.881], [-6.879, -5.815, 0.829], [0.069, -6.057, 6.718]], "species": ["Cd", "Cd", "Cd", "Cd", "Cd", "Cd", "Cd", "Cd", "Cd", "Cd", "Cd", "Cd", "Ag", "Ag", "Ag", "Sr", "Sr", "La"], "fractional_positions": [[0.827, 0.466, 0.827], [0.248, 0.837, 0.248], [0.173, 0.534, 0.173], [0.466, 0.827, 0.827], [0.752, 0.752, 0.163], [0.752, 0.163, 0.752], [0.173, 0.173, 0.534], [0.534, 0.173, 0.173], [0.248, 0.248, 0.837], [0.827, 0.827, 0.466], [0.837, 0.248, 0.248], [0.163, 0.752, 0.752], [0.500, 0.000, 0.000], [0.000, 0.500, 0.000], [0.000, 0.000, 0.500], [0.585, 0.585, 0.585], [0.415, 0.415, 0.415], [0.000, 0.000, 0.000]]}

no.,total magnetization (μB per atom),mass density (g/cm³)
1,0.0000,6.478
2,0.0000,7.621
3,0.0000,7.607
4,0.0000,6.704
5,0.0000,6.709
6,0.0000,6.604
7,0.0000,7.094
8,0.0000,7.696
9,0.0841,7.579
10,0.0257,7.547
11,0.0000,7.748
12,0.0000,6.236